Record 1
Tm4ScIn: relaxed, GGA-PBE.

Values from the calculation:
* formation energy: 0.01 eV per atom
* density: 7.94 g/cm3
* energy above the most stable polymorph in this dataset: 132 meV/atom

abc: 3.4205 9.1597 5.5787
angles: 90.00 90.00 90.00
Last column: nearest neighbours and their distance in Å.
Fractional positions:
Sc (0.5000, 0.5000, 0.5000)  8 Tm 3.30-3.33, 2 Sc 3.42
Tm (0.0000, 0.1886, 0.5000)  2 In 3.28, 2 Sc 3.33, 7 Tm 3.42-3.45
Tm (0.5000, 0.6920, 0.0000)  2 Sc 3.30, 2 In 3.30, 7 Tm 3.42-3.52
Tm (0.0000, 0.8114, 0.5000)  2 In 3.28, 2 Sc 3.33, 7 Tm 3.42-3.45
Tm (0.5000, 0.3080, 0.0000)  2 Sc 3.30, 2 In 3.30, 7 Tm 3.42-3.52
In (0.0000, 0.0000, 0.0000)  8 Tm 3.28-3.30, 2 In 3.42

Record 2
VGaH2: relaxed, GGA-PBE.

Values from the calculation:
* density: 5.05 g/cm3
* energy above the most stable polymorph in this dataset: 56 meV/atom

abc: 2.7463 2.7463 6.3805
angles: 77.57 77.57 60.00
Last column: nearest neighbours and their distance in Å.
Fractional positions:
Ga (0.0000, 0.0000, 0.0000)  2 H 2.17
H (0.8831, 0.8831, 0.3508)  3 V 1.83
H (0.1169, 0.1169, 0.6492)  3 V 1.83
V (0.5000, 0.5000, 0.5000)  6 H 1.83

Record 3
KZnPbAu3: relaxed, GGA-PBE.

Values from the calculation:
* formation energy: -0.12 eV per atom
* density: 8.99 g/cm3

abc: 7.3626 7.0632 7.3444
angles: 61.26 87.55 84.91
Last column: nearest neighbours and their distance in Å.
Fractional positions:
Au (0.7500, 0.2138, 0.5723)  1 Zn 2.60, 1 Pb 2.87
Au (0.5157, 0.8405, 0.8689)  2 Zn 2.54-2.61
Au (0.9843, 0.2906, 0.8689)  2 Zn 2.54-2.61
Au (0.0157, 0.7094, 0.1311)  2 Zn 2.54-2.61
Au (0.4843, 0.1595, 0.1311)  2 Zn 2.54-2.61
Au (0.2500, 0.7862, 0.4277)  1 Zn 2.60, 1 Pb 2.87
Zn (0.7500, 0.0120, 0.9760)  5 Au 2.54-2.61
Zn (0.2500, 0.9880, 0.0240)  5 Au 2.54-2.61
K (0.2500, 0.2580, 0.4841)  8 Au 3.36-3.72, 1 Zn 3.48
K (0.7500, 0.7420, 0.5159)  8 Au 3.36-3.72, 1 Zn 3.48
Pb (0.2500, 0.5631, 0.8738)  5 Au 2.87-2.98
Pb (0.7500, 0.4369, 0.1262)  5 Au 2.87-2.98

Record 4
Ac4Te4I3: relaxed, GGA-PBE.

Values from the calculation:
* density: 6.31 g/cm3
* formation energy (no corrections): -15.793 eV per formula unit

abc: 4.8069 8.0288 12.8474
angles: 90.00 90.00 107.42
Last column: nearest neighbours and their distance in Å.
Fractional positions:
Te (0.6753, 0.3506, 0.0000)  4 Ac 3.30-3.36
Te (0.0429, 0.0859, 0.7462)  4 Ac 3.27-3.38
Te (0.6135, 0.2269, 0.5000)  4 Ac 3.28-3.31
Te (0.0429, 0.0859, 0.2538)  4 Ac 3.27-3.38
I (0.3813, 0.7625, 0.0000)  2 Ac 3.29
I (0.3354, 0.6709, 0.3456)  4 Ac 3.46-3.69
I (0.3354, 0.6709, 0.6544)  4 Ac 3.46-3.69
Ac (0.9647, 0.9294, 0.5000)  4 Te 3.31-3.38, 4 I 3.69
Ac (0.6896, 0.3792, 0.7390)  4 Te 3.28-3.36, 2 I 3.46
Ac (0.6896, 0.3792, 0.2610)  4 Te 3.28-3.36, 2 I 3.46
Ac (0.0278, 0.0557, 0.0000)  4 Te 3.27-3.30, 2 I 3.29

Record 5
Y3Ag2Sn: relaxed, GGA-PBE.

Values from the calculation:
* formation energy: -0.45 eV per atom
* density: 6.61 g/cm3

abc: 3.6939 5.1920 8.2966
angles: 108.23 90.00 90.00
Last column: nearest neighbours and their distance in Å.
Fractional positions:
Y (0.5000, 0.5000, 0.0000)  4 Sn 3.19, 4 Ag 3.27
Y (0.5000, 0.1694, 0.3389)  6 Ag 3.12-3.19, 2 Sn 3.25
Y (0.5000, 0.8306, 0.6611)  6 Ag 3.12-3.19, 2 Sn 3.25
Ag (0.0000, 0.3288, 0.6575)  8 Y 3.12-3.27
Ag (0.0000, 0.6712, 0.3425)  8 Y 3.12-3.27
Sn (0.0000, 0.0000, 0.0000)  8 Y 3.19-3.25

Record 6
Tb6Te5Au: relaxed, GGA-PBE.

Values from the calculation:
* density: 8.41 g/cm3
* formation energy (no corrections): -15.280 eV per formula unit

abc: 7.5552 7.5552 7.5590
angles: 99.58 99.58 119.77
Last column: nearest neighbours and their distance in Å.
Fractional positions:
Te (0.6639, 0.3361, 0.0000)  6 Tb 3.10-3.11
Te (0.5000, 0.5000, 0.5000)  6 Tb 3.10-3.26
Te (0.8226, 0.1774, 0.5000)  6 Tb 3.10-3.20
Te (0.3361, 0.6639, 0.0000)  6 Tb 3.10-3.11
Te (0.1774, 0.8226, 0.5000)  6 Tb 3.10-3.20
Tb (0.7704, 0.7704, 0.2425)  1 Au 2.92, 5 Te 3.11-3.26
Tb (0.9234, 0.6114, 0.7669)  1 Au 2.88, 5 Te 3.10-3.20
Tb (0.3886, 0.0766, 0.2331)  1 Au 2.88, 5 Te 3.10-3.20
Tb (0.6114, 0.9234, 0.7669)  1 Au 2.88, 5 Te 3.10-3.20
Tb (0.0766, 0.3886, 0.2331)  1 Au 2.88, 5 Te 3.10-3.20
Tb (0.2296, 0.2296, 0.7575)  1 Au 2.92, 5 Te 3.11-3.26
Au (0.0000, 0.0000, 0.0000)  6 Tb 2.88-2.92

Record 7
Nd26Ga7Co10: relaxed, GGA-PBE.

Values from the calculation:
* formation energy: -0.24 eV per atom
* density: 7.41 g/cm3

abc: 11.8406 11.8406 15.4417
angles: 90.00 90.00 90.00
Last column: nearest neighbours and their distance in Å.
Fractional positions:
Co (0.9065, 0.4065, 0.0000)  8 Nd 2.86-3.10, 1 Co 3.13
Co (0.8015, 0.6985, 0.1795)  5 Nd 2.70-2.86, 1 Ga 2.87
Co (0.5000, 0.5000, 0.2294)  1 Co 2.70, 4 Nd 2.90
Co (0.0935, 0.5935, 0.0000)  8 Nd 2.86-3.10, 1 Co 3.13
Co (0.1985, 0.3015, 0.8205)  5 Nd 2.70-2.86, 1 Ga 2.87
Co (0.0000, 0.0000, 0.4043)  2 Co 2.70-2.95, 8 Nd 2.97-3.00
Co (0.6985, 0.1985, 0.8205)  5 Nd 2.70-2.86, 1 Ga 2.87
Co (0.6985, 0.1985, 0.1795)  5 Nd 2.70-2.86, 1 Ga 2.87
Co (0.5000, 0.5000, 0.7706)  1 Co 2.70, 4 Nd 2.90
Co (0.3015, 0.8015, 0.8205)  5 Nd 2.70-2.86, 1 Ga 2.87
Co (0.0000, 0.0000, 0.5957)  2 Co 2.70-2.95, 8 Nd 2.97-3.00
Co (0.1985, 0.3015, 0.1795)  5 Nd 2.70-2.86, 1 Ga 2.87
Co (0.4065, 0.0935, 0.0000)  8 Nd 2.86-3.10, 1 Co 3.13
Co (0.5935, 0.9065, 0.0000)  8 Nd 2.86-3.10, 1 Co 3.13
Co (0.0000, 0.0000, 0.7706)  1 Co 2.70, 4 Nd 2.90
Co (0.0000, 0.0000, 0.2294)  1 Co 2.70, 4 Nd 2.90
Co (0.5000, 0.5000, 0.4043)  2 Co 2.70-2.95, 8 Nd 2.97-3.00
Co (0.3015, 0.8015, 0.1795)  5 Nd 2.70-2.86, 1 Ga 2.87
Co (0.5000, 0.5000, 0.5957)  2 Co 2.70-2.95, 8 Nd 2.97-3.00
Co (0.8015, 0.6985, 0.8205)  5 Nd 2.70-2.86, 1 Ga 2.87
Nd (0.5809, 0.2940, 0.3103)  3 Co 2.70-3.00
Nd (0.4263, 0.2936, 0.1173)  3 Co 2.86-3.12, 1 Ga 3.16
Nd (0.5737, 0.7064, 0.1173)  3 Co 2.86-3.12, 1 Ga 3.16
Nd (0.4191, 0.7060, 0.3103)  3 Co 2.70-3.00
Nd (0.2990, 0.5840, 0.5000)  2 Co 2.97, 2 Ga 3.20-3.29
Nd (0.2064, 0.0737, 0.1173)  3 Co 2.86-3.12, 1 Ga 3.16
Nd (0.9263, 0.2064, 0.1173)  3 Co 2.86-3.12, 1 Ga 3.16
Nd (0.7936, 0.9263, 0.8827)  3 Co 2.86-3.12, 1 Ga 3.16
Nd (0.4191, 0.7060, 0.6897)  3 Co 2.70-3.00
Nd (0.6601, 0.1601, 0.0000)  4 Co 2.85-3.10
Nd (0.5000, 0.0000, 0.6181)  4 Ga 3.08-3.11
Nd (0.7940, 0.0809, 0.6897)  3 Co 2.70-3.00
Nd (0.7060, 0.5809, 0.6897)  3 Co 2.70-3.00
Nd (0.0000, 0.5000, 0.6181)  4 Ga 3.08-3.11
Nd (0.0737, 0.7936, 0.1173)  3 Co 2.86-3.12, 1 Ga 3.16
Nd (0.2060, 0.9191, 0.3103)  3 Co 2.70-3.00
Nd (0.4263, 0.2936, 0.8827)  3 Co 2.86-3.12, 1 Ga 3.16
Nd (0.9191, 0.7940, 0.3103)  3 Co 2.70-3.00
Nd (0.2936, 0.5737, 0.8827)  3 Co 2.86-3.12, 1 Ga 3.16
Nd (0.5840, 0.7010, 0.5000)  2 Co 2.97, 2 Ga 3.20-3.29
Nd (0.7064, 0.4263, 0.8827)  3 Co 2.86-3.12, 1 Ga 3.16
Nd (0.2010, 0.0840, 0.5000)  2 Co 2.97, 2 Ga 3.20-3.29
Nd (0.0737, 0.7936, 0.8827)  3 Co 2.86-3.12, 1 Ga 3.16
Nd (0.0000, 0.5000, 0.3819)  4 Ga 3.08-3.11
Nd (0.2936, 0.5737, 0.1173)  3 Co 2.86-3.12, 1 Ga 3.16
Nd (0.3399, 0.8399, 0.0000)  4 Co 2.85-3.10
Nd (0.7990, 0.9160, 0.5000)  2 Co 2.97, 2 Ga 3.20-3.29
Nd (0.7936, 0.9263, 0.1173)  3 Co 2.86-3.12, 1 Ga 3.16
Nd (0.7060, 0.5809, 0.3103)  3 Co 2.70-3.00
Nd (0.2940, 0.4191, 0.3103)  3 Co 2.70-3.00
Nd (0.2064, 0.0737, 0.8827)  3 Co 2.86-3.12, 1 Ga 3.16
Nd (0.7010, 0.4160, 0.5000)  2 Co 2.97, 2 Ga 3.20-3.29
Nd (0.2060, 0.9191, 0.6897)  3 Co 2.70-3.00
Nd (0.5809, 0.2940, 0.6897)  3 Co 2.70-3.00
Nd (0.1601, 0.3399, 0.0000)  4 Co 2.85-3.10
Nd (0.7064, 0.4263, 0.1173)  3 Co 2.86-3.12, 1 Ga 3.16
Nd (0.4160, 0.2990, 0.5000)  2 Co 2.97, 2 Ga 3.20-3.29
Nd (0.5000, 0.0000, 0.3819)  4 Ga 3.08-3.11
Nd (0.0000, 0.5000, 0.1548)  2 Co 2.86
Nd (0.0809, 0.2060, 0.6897)  3 Co 2.70-3.00
Nd (0.2940, 0.4191, 0.6897)  3 Co 2.70-3.00
Nd (0.9160, 0.2010, 0.5000)  2 Co 2.97, 2 Ga 3.20-3.29
Nd (0.7940, 0.0809, 0.3103)  3 Co 2.70-3.00
Nd (0.5000, 0.0000, 0.1548)  2 Co 2.86
Nd (0.9263, 0.2064, 0.8827)  3 Co 2.86-3.12, 1 Ga 3.16
Nd (0.0000, 0.5000, 0.8452)  2 Co 2.86
Nd (0.0840, 0.7990, 0.5000)  2 Co 2.97, 2 Ga 3.20-3.29
Nd (0.5737, 0.7064, 0.8827)  3 Co 2.86-3.12, 1 Ga 3.16
Nd (0.5000, 0.0000, 0.8452)  2 Co 2.86
Nd (0.9191, 0.7940, 0.6897)  3 Co 2.70-3.00
Nd (0.0809, 0.2060, 0.3103)  3 Co 2.70-3.00
Nd (0.8399, 0.6601, 0.0000)  4 Co 2.85-3.10
Ga (0.3379, 0.1621, 0.2879)  1 Co 2.87, 3 Nd 3.08-3.11
Ga (0.1505, 0.3495, 0.5000)  6 Nd 3.11-3.29
Ga (0.0000, 0.0000, 0.0000)  8 Nd 3.16, 2 Co 3.54
Ga (0.6621, 0.8379, 0.7121)  1 Co 2.87, 3 Nd 3.08-3.11
Ga (0.8495, 0.6505, 0.5000)  6 Nd 3.11-3.29
Ga (0.5000, 0.5000, 0.0000)  8 Nd 3.16, 2 Co 3.54
Ga (0.3379, 0.1621, 0.7121)  1 Co 2.87, 3 Nd 3.08-3.11
Ga (0.6505, 0.1505, 0.5000)  6 Nd 3.11-3.29
Ga (0.8379, 0.3379, 0.7121)  1 Co 2.87, 3 Nd 3.08-3.11
Ga (0.1621, 0.6621, 0.7121)  1 Co 2.87, 3 Nd 3.08-3.11
Ga (0.1621, 0.6621, 0.2879)  1 Co 2.87, 3 Nd 3.08-3.11
Ga (0.6621, 0.8379, 0.2879)  1 Co 2.87, 3 Nd 3.08-3.11
Ga (0.8379, 0.3379, 0.2879)  1 Co 2.87, 3 Nd 3.08-3.11
Ga (0.3495, 0.8495, 0.5000)  6 Nd 3.11-3.29

Record 8
VMoPt2: relaxed, GGA-PBE.

Values from the calculation:
* formation energy: -0.43 eV per atom
* density: 14.99 g/cm3
* energy above the most stable polymorph in this dataset: 0 meV/atom

abc: 5.4154 5.5783 5.5783
angles: 58.08 60.96 60.96
Last column: nearest neighbours and their distance in Å.
Fractional positions:
Pt (0.2500, 0.2500, 0.7500)  4 Pt 2.71, 4 V 2.79, 4 Mo 2.79
Pt (0.7500, 0.2500, 0.7500)  4 Pt 2.71, 4 V 2.79, 4 Mo 2.79
Pt (0.7500, 0.7500, 0.2500)  4 Pt 2.71, 4 V 2.79, 4 Mo 2.79
Pt (0.2500, 0.7500, 0.2500)  4 Pt 2.71, 4 V 2.79, 4 Mo 2.79
V (0.7500, 0.2499, 0.2501)  4 Mo 2.71, 8 Pt 2.79
V (0.2500, 0.7501, 0.7499)  4 Mo 2.71, 8 Pt 2.79
Mo (0.7500, 0.7499, 0.7501)  4 V 2.71, 8 Pt 2.79
Mo (0.2500, 0.2501, 0.2499)  4 V 2.71, 8 Pt 2.79